[1]
TeOsI2Cl after structural relaxation, computed with PBE.

The energy above the most stable polymorph in this dataset comes out at 0 meV/atom.

It has space group P4/mmm (No. 123), with a = 5.535 Å, b = 5.535 Å, c = 5.024 Å, α = 90.00°, β = 90.00° and γ = 90.00°. The inequivalent atoms are Te at (0.000, 0.000, 0.000), Os at (0.000, 0.000, 0.500), I at (0.000, 0.500, 0.500) and Cl at (0.500, 0.500, 0.000).

***

[2]
TeOsI2Cl after structural relaxation, computed with PBE.

The energy above the most stable polymorph in this dataset comes out at 1220 meV/atom.

It has space group P4/mmm (No. 123), with a = 5.501 Å, b = 5.501 Å, c = 5.724 Å, α = 90.00°, β = 90.00° and γ = 90.00°. The inequivalent atoms are Te at (0.000, 0.000, 0.000), Os at (0.500, 0.500, 0.000), I at (0.000, 0.500, 0.500) and Cl at (0.000, 0.000, 0.500).

***

[3]
Te2OsICl after structural relaxation, computed with PBE.

The energy above the most stable polymorph in this dataset comes out at 0 meV/atom.

It has space group P4/mmm (No. 123), with a = 5.170 Å, b = 5.170 Å, c = 5.611 Å, α = 90.00°, β = 90.00° and γ = 90.00°. The inequivalent atoms are Te at (0.000, 0.500, 0.000), Os at (0.000, 0.000, 0.000), I at (0.000, 0.000, 0.500) and Cl at (0.500, 0.500, 0.500).

***

[4]
Tl2OsI2Cl4 after structural relaxation, computed with PBE.

It has space group C2/m (No. 12), with a = 13.025 Å, b = 7.237 Å, c = 7.357 Å, α = 90.00°, β = 122.81° and γ = 90.00°. The inequivalent atoms are Tl at (0.244, 0.000, 0.192), Os at (0.000, 0.500, 0.000), I at (0.243, 0.500, 0.300) and Cl at (0.029, 0.271, 0.806).

***

| no. | uncorrected energy (eV per atom) | formation energy from raw total energies (meV per atom) |
| --- | --- | --- |
| 1 | -3.309 | 555 |
| 2 | -2.089 | 1775 |
| 3 | -3.636 | 546 |
| 4 | -3.491 | -552 |